(1)
Here is crystalline La3BeO at its relaxed geometry from Alexandria via LeMat-Bulk. Energies are from GGA-PBE.

Unit cell a=4.9872 b=4.9872 c=4.9872 alpha=90.00 beta=90.00 gamma=90.00
Space group Pm-3m (No. 221)
Symmetry-distinct sites (fractional):
La 0.0000 0.0000 0.5000 [3 per cell]
Be 0.5000 0.5000 0.5000 [1 per cell]
O 0.0000 0.0000 0.0000 [1 per cell]

Computed properties:
* N(E_F): 3.44 states/eV per cell
* E above lowest polymorph: 0.00 eV/f.u.

=====

(2)
Here is crystalline La2BeO3 at its relaxed geometry from Alexandria via LeMat-Bulk. Energies are from GGA-PBE.

Unit cell a=3.5370 b=3.6799 c=12.7761 alpha=90.00 beta=90.00 gamma=90.00
Space group Immm (No. 71)
Symmetry-distinct sites (fractional):
La 0.0000 0.0000 0.1373 [4 per cell]
Be 0.0000 0.0000 0.5000 [2 per cell]
O 0.0000 0.0000 0.3346 [4 per cell]
O 0.0000 0.5000 0.0000 [2 per cell]

Computed properties:
* N(E_F): 1.40 states/eV per cell
* E: -7.397 eV/atom